No. 1
Here is a relaxed structure of CdIrPt2 from the Alexandria database. Energies are from PBE-GGA.

```
CdIrPt2
1.0
4.0514 0.0000 0.0000
0.0000 4.0006 0.0000
0.0000 0.0000 4.0006
Pt Ir Cd
2 1 1
Cartesian
0.0000 0.0000 0.0000
0.0000 2.0003 2.0003
2.0257 0.0000 2.0003
2.0257 2.0003 0.0000
```

Calculated values
Total magnetic moment = 0.0 μB per cell
Crystal system = tetragonal
Energy of formation from the pure elements = 0.0335 eV/atom


No. 2
Here is a relaxed structure of CdP2Ir from the Alexandria database. Energies are from PBE-GGA.

```
CdP2Ir
1.0
3.8148 0.0000 0.0000
0.0000 4.7391 0.4533
0.0000 2.1343 5.1191
P Ir Cd
2 1 1
Cartesian
0.0000 3.8362 3.8752
0.0000 1.7348 4.0301
1.9074 5.1551 4.1793
1.9074 1.7184 1.3931
```

Calculated values
Total magnetic moment = 0.0 μB per cell
Crystal system = monoclinic
Energy of formation from the pure elements = -0.1478 eV/atom


No. 3
Here is a relaxed structure of KYCu3 from the Alexandria database. Energies are from PBE-GGA.

```
KYCu3
1.0
5.3593 0.0000 0.0000
0.0000 5.3593 0.0000
0.0000 0.0000 5.3593
Cu Y K
3 1 1
Cartesian
0.0000 2.6797 0.0000
0.0000 0.0000 2.6797
2.6797 0.0000 0.0000
0.0000 0.0000 0.0000
2.6797 2.6797 2.6797
```

Calculated values
Total magnetic moment = 0.0 μB per cell
Crystal system = cubic
Energy of formation from the pure elements = 0.7004 eV/atom


No. 4
Here is a relaxed structure of Pm2YHo from the Alexandria database. Energies are from PBE-GGA.

```
Pm2YHo
1.0
-4.9003 -0.9333 -0.7831
-0.2015 -2.6191 4.3826
-1.2162 4.2844 2.5045
Pm Y Ho
2 1 1
Cartesian
-0.1007 -1.3096 2.1913
-0.6081 2.1422 1.2523
-2.4502 -0.4667 -0.3915
-3.1590 0.3660 3.0520
```

Calculated values
Total magnetic moment = 0.0 μB per cell
Crystal system = tetragonal
Energy of formation from the pure elements = 0.0206 eV/atom


No. 5
Here is a relaxed structure of CaY2Rh from the Alexandria database. Energies are from PBE-GGA.

```
CaY2Rh
1.0
4.9466 -0.0020 0.0000
0.0011 4.9466 0.0000
0.0000 0.0000 4.1478
Ca Y Rh
1 2 1
Cartesian
2.4733 -0.0010 2.0739
0.0000 0.0000 0.0000
2.4738 2.4723 0.0000
0.0005 2.4733 2.0739
```

Calculated values
Total magnetic moment = 0.0 μB per cell
Crystal system = tetragonal
Energy of formation from the pure elements = -0.1015 eV/atom


No. 6
Here is a relaxed structure of Cs2NdTlS4 from the Alexandria database. Energies are from PBE-GGA.

```
Cs2NdTlS4
1.0
-8.7934 -0.3593 0.7973
0.9425 -8.7836 0.2202
4.3542 4.6209 6.0027
Cs S Tl Nd
4 8 2 2
Cartesian
-2.2196 2.1307 3.4000
2.1771 2.3104 3.0013
-3.9255 -4.5715 0.5088
-4.3967 -0.1797 0.3987
0.6812 -4.1082 2.9823
0.0730 -0.4907 3.2076
-4.1779 -0.4139 4.0380
3.0930 -2.0010 5.9697
-3.5697 -4.0315 3.8126
-1.4705 -2.0740 0.2817
-6.5899 -2.5212 1.0506
-2.0262 -2.4481 6.7385
-4.4392 4.2615 6.8000
-1.7484 -2.2611 3.5101
0.4713 -4.3918 0.1102
-6.1451 -2.4407 3.9087
```

Calculated values
Total magnetic moment = 0.0 μB per cell
Crystal system = monoclinic


No. 7
Here is a relaxed structure of SrLi2Ga2Si2 from the Alexandria database. Energies are from PBE-GGA.

```
SrLi2Ga2Si2
1.0
-0.6527 0.4413 -4.1596
-3.7445 -1.0430 -1.6775
-4.2624 7.7732 -0.6609
Si Sr Li Ga
2 1 2 2
Cartesian
-2.1487 1.7466 -1.6320
-6.5109 5.4250 -4.8661
0.0000 0.0000 0.0000
-3.0341 4.2711 -1.2252
-5.6255 2.9004 -5.2729
-4.7866 4.8882 -3.0392
-3.8730 2.2834 -3.4589
```

Calculated values
Total magnetic moment = 0.0 μB per cell
Crystal system = trigonal


No. 8
Here is a relaxed structure of BaCa2Au from the Alexandria database. Energies are from PBE-GGA.

```
BaCa2Au
1.0
-2.5463 3.6741 0.8117
-3.9580 -5.8305 1.2089
2.8909 -0.0424 9.2606
Au Ba Ca
2 2 4
Cartesian
-1.8143 -1.9475 3.0982
-1.7992 -0.2513 8.1829
-5.1246 -1.6669 4.1329
1.5112 -0.5319 7.1482
-2.7215 0.5886 1.4914
-0.8919 -2.7874 9.7897
-1.6397 0.5727 4.9570
-1.9737 -2.7715 6.3242
```

Calculated values
Total magnetic moment = 0.0 μB per cell
Crystal system = monoclinic
Energy of formation from the pure elements = -0.4337 eV/atom


Number 1: total DFT energy (no corrections) -5.431 eV/atom. Number 2: total DFT energy (no corrections) -5.297 eV/atom. Number 3: total DFT energy (no corrections) -3.270 eV/atom. Number 4: total DFT energy (no corrections) -5.115 eV/atom. Number 5: total DFT energy (no corrections) -5.672 eV/atom. Number 6: total DFT energy (no corrections) -4.228 eV/atom. Number 7: total DFT energy (no corrections) -3.549 eV/atom. Number 8: total DFT energy (no corrections) -2.735 eV/atom.